Record 1
The following is a DFT calculation (PBE-GGA) of an optimized crystal structure of Mg2TaBe.

Calculated total energy = -4.184 eV per atom
Mass density = 5.88 g/cm³

The structure in extended XYZ format:
```
4
Lattice="-1.243 5.286 -0.159 -5.004 1.751 1.185 3.815 -3.279 2.052" Properties=species:S:1:pos:R:3 pbc="T T T"
Be -0.276 2.763 1.203
Mg 0.000 0.000 0.000
Mg -3.124 3.518 0.513
Ta -2.157 0.995 1.875
```



Record 2
The following is a DFT calculation (PBE-GGA) of an optimized crystal structure of Mg2TaBe.

Calculated total energy = -4.363 eV per atom
Mass density = 6.04 g/cm³

The structure in extended XYZ format:
```
4
Lattice="-1.977 -3.182 -4.232 -3.528 -3.917 -2.037 -3.874 1.735 -2.158" Properties=species:S:1:pos:R:3 pbc="T T T"
Be -7.035 -4.024 -6.320
Mg -3.931 1.433 -2.298
Mg -4.634 -2.381 -4.073
Ta -2.345 -1.341 -2.107
```



Record 3
The following is a DFT calculation (PBE-GGA) of an optimized crystal structure of Mg2TaBe.

Calculated total energy = -4.239 eV per atom
Mass density = 5.72 g/cm³

The structure in extended XYZ format:
```
4
Lattice="9.655 0.004 0.003 9.218 2.872 0.003 9.218 1.405 2.505" Properties=species:S:1:pos:R:3 pbc="T T T"
Be 21.068 3.211 1.883
Mg 0.232 0.035 0.021
Mg 13.813 2.106 1.234
Ta 7.023 1.070 0.628
```



Record 4
The following is a DFT calculation (PBE-GGA) of an optimized crystal structure of MgTaBe2.

Calculated total energy = -4.995 eV per atom
Mass density = 6.36 g/cm³

The structure in extended XYZ format:
```
4
Lattice="-0.145 2.614 -2.491 -2.783 -0.256 -0.107 -2.794 3.738 4.085" Properties=species:S:1:pos:R:3 pbc="T T T"
Be -2.855 3.533 3.873
Be -2.728 1.946 2.201
Mg -1.467 2.178 -0.251
Ta -4.256 3.919 1.739
```



Record 5
The following is a DFT calculation (PBE-GGA) of an optimized crystal structure of Mg2TaBe.

Calculated total energy = -4.531 eV per atom
Mass density = 5.80 g/cm³

The structure in extended XYZ format:
```
4
Lattice="-0.327 0.511 -2.871 2.734 -0.957 -0.472 -2.751 -7.368 -0.997" Properties=species:S:1:pos:R:3 pbc="T T T"
Be -0.832 -5.676 -2.409
Mg -2.624 -7.029 -0.951
Mg 0.482 -2.155 -1.933
Ta -1.496 -4.007 -0.542
```



Record 6
The following is a DFT calculation (PBE-GGA) of an optimized crystal structure of Mg2TaBe.

Calculated total energy = -4.370 eV per atom
Mass density = 5.98 g/cm³

The structure in extended XYZ format:
```
4
Lattice="2.934 0.000 0.000 0.000 2.934 0.000 0.000 0.000 7.698" Properties=species:S:1:pos:R:3 pbc="T T T"
Be 1.467 1.467 5.773
Mg 0.000 0.000 7.413
Mg 0.000 0.000 4.133
Ta 1.467 1.467 1.924
```



Record 7
The following is a DFT calculation (PBE-GGA) of an optimized crystal structure of MgTaBe2.

Calculated total energy = -5.055 eV per atom
Mass density = 6.77 g/cm³

The structure in extended XYZ format:
```
4
Lattice="-2.661 0.393 0.817 0.085 -2.419 1.431 2.227 3.401 5.617" Properties=species:S:1:pos:R:3 pbc="T T T"
Be 0.112 0.170 0.281
Be -0.863 -0.363 2.197
Mg 1.025 1.565 2.584
Ta 0.491 1.704 5.610
```



Record 8
The following is a DFT calculation (PBE-GGA) of an optimized crystal structure of MgTa2Be2.

Calculated total energy = -6.471 eV per atom
Mass density = 9.49 g/cm³

The structure in extended XYZ format:
```
10
Lattice="6.475 0.000 0.000 0.000 6.475 0.000 0.000 0.000 3.374" Properties=species:S:1:pos:R:3 pbc="T T T"
Be 2.506 5.743 0.000
Be 5.743 3.970 0.000
Be 3.970 0.732 0.000
Be 0.732 2.506 0.000
Mg 0.000 0.000 0.000
Mg 3.238 3.238 0.000
Ta 1.136 4.374 1.687
Ta 4.374 5.340 1.687
Ta 5.340 2.102 1.687
Ta 2.102 1.136 1.687
```



Record 9
The following is a DFT calculation (PBE-GGA) of an optimized crystal structure of MgTaBe2.

Calculated total energy = -4.936 eV per atom
Mass density = 6.77 g/cm³

The structure in extended XYZ format:
```
4
Lattice="5.205 0.001 -0.003 2.745 4.422 0.003 -3.555 -2.966 2.377" Properties=species:S:1:pos:R:3 pbc="T T T"
Be 7.671 4.268 0.000
Be 3.062 -0.237 1.187
Mg 4.096 2.279 0.000
Ta 1.489 1.782 1.190
```



Record 10
The following is a DFT calculation (PBE-GGA) of an optimized crystal structure of MgTaBe2.

Calculated total energy = -4.968 eV per atom
Mass density = 6.74 g/cm³

The structure in extended XYZ format:
```
4
Lattice="-2.057 -0.213 -4.514 -2.574 -2.531 -3.410 -4.463 1.181 0.392" Properties=species:S:1:pos:R:3 pbc="T T T"
Be -8.812 -1.526 -7.321
Be -2.528 -0.442 -2.109
Mg -4.396 -0.904 -3.951
Ta -7.000 -1.037 -5.448
```



Record 11
The following is a DFT calculation (PBE-GGA) of an optimized crystal structure of Tb2MgBe.

Distance to the lowest polymorph of the same formula = 0.354 eV per atom
Mass density = 5.50 g/cm³

The structure in extended XYZ format:
```
4
Lattice="-3.347 -0.269 -0.420 -1.287 -2.642 -1.677 -2.255 -6.438 8.461" Properties=species:S:1:pos:R:3 pbc="T T T"
Be -3.445 -4.675 3.182
Mg 0.000 0.000 0.000
Tb -2.033 -4.730 5.600
Tb -4.856 -4.619 0.764
```



Record 12
The following is a DFT calculation (PBE-GGA) of an optimized crystal structure of Tb2MgBe.

Distance to the lowest polymorph of the same formula = 0.087 eV per atom
Mass density = 6.20 g/cm³

The structure in extended XYZ format:
```
4
Lattice="5.105 0.000 0.000 2.552 4.421 0.000 2.552 1.474 4.168" Properties=species:S:1:pos:R:3 pbc="T T T"
Be 0.000 0.000 0.000
Mg 5.105 2.947 2.084
Tb 2.552 1.474 1.042
Tb 7.657 4.421 3.126
```



Record 13
The following is a DFT calculation (PBE-GGA) of an optimized crystal structure of Tb2MgBe.

Distance to the lowest polymorph of the same formula = 0.000 eV per atom
Mass density = 6.14 g/cm³

The structure in extended XYZ format:
```
4
Lattice="3.470 0.000 0.000 0.000 3.470 0.000 0.000 0.000 7.883" Properties=species:S:1:pos:R:3 pbc="T T T"
Be 1.735 1.735 0.000
Mg 1.735 1.735 3.941
Tb 0.000 0.000 6.248
Tb 0.000 0.000 1.635
```



Record 14
The following is a DFT calculation (PBE-GGA) of an optimized crystal structure of TbMgBeZn.

Calculated total energy = -2.910 eV per atom
Mass density = 5.76 g/cm³

The structure in extended XYZ format:
```
4
Lattice="-1.997 1.712 -3.916 -3.994 -1.903 -1.637 -4.047 2.409 0.275" Properties=species:S:1:pos:R:3 pbc="T T T"
Be -5.019 1.109 -2.639
Zn 0.000 0.000 0.000
Tb -7.528 1.663 -3.958
Mg -2.509 0.554 -1.319
```



Record 15
The following is a DFT calculation (PBE-GGA) of an optimized crystal structure of Mg2BeTc2.

Distance to the lowest polymorph of the same formula = 0.629 eV per atom
Mass density = 5.11 g/cm³

The structure in extended XYZ format:
```
5
Lattice="3.511 0.000 0.000 0.000 3.511 0.000 1.756 1.756 6.683" Properties=species:S:1:pos:R:3 pbc="T T T"
Be 0.000 0.000 0.000
Mg 3.511 1.756 3.342
Mg 1.756 3.511 3.342
Tc 1.756 1.756 1.117
Tc 3.511 3.511 5.567
```